Here is crystalline K2U2CdSe6 at its relaxed geometry from Alexandria via LeMat-Bulk. Energies are from GGA-PBE.

Cell lengths 7.208, 7.208, 8.224 Å; angles 97.83, 97.83, 120.89 degrees
Element x y z (fractional)
K (0.838, 0.162, 0.000)
K (0.162, 0.838, 0.000)
U (0.334, 0.666, 0.500)
U (0.666, 0.334, 0.500)
Cd (0.000, 0.000, 0.500)
Se (0.728, 0.728, 0.699)
Se (0.062, 0.409, 0.702)
Se (0.272, 0.272, 0.301)
Se (0.409, 0.062, 0.702)
Se (0.938, 0.591, 0.298)
Se (0.591, 0.938, 0.298)

Summary:
- calculated volume (A^3/atom) = 32.034
- space group = C2/m, No. 12
- energy (eV/atom) = -5.3515

=====

Here is crystalline K2UCdSe6 at its relaxed geometry from Alexandria via LeMat-Bulk. Energies are from GGA-PBE.

Cell lengths 7.663, 7.663, 10.821 Å; angles 90.00, 90.07, 90.00 degrees
Element x y z (fractional)
K (0.000, 0.000, 0.250)
K (0.500, 0.500, 0.750)
K (0.000, 0.000, 0.750)
K (0.500, 0.500, 0.250)
U (0.500, 0.000, 0.500)
U (0.000, 0.500, 0.000)
Cd (0.500, 0.000, 0.000)
Cd (0.000, 0.500, 0.500)
Se (0.246, 0.744, 0.000)
Se (0.746, 0.756, 0.500)
Se (0.754, 0.256, 0.000)
Se (0.254, 0.244, 0.500)
Se (0.256, 0.755, 0.500)
Se (0.756, 0.745, 0.000)
Se (0.744, 0.245, 0.500)
Se (0.244, 0.255, 0.000)
Se (0.000, 0.500, 0.245)
Se (0.500, 0.000, 0.745)
Se (0.000, 0.500, 0.755)
Se (0.500, 0.000, 0.255)

Summary:
- calculated volume (A^3/atom) = 31.772
- space group = P2_1/c, No. 14
- energy (eV/atom) = -4.3039

=====

Here is crystalline K4U3CdSe8 at its relaxed geometry from Alexandria via LeMat-Bulk. Energies are from GGA-PBE.

Cell lengths 8.476, 9.123, 8.477 Å; angles 117.69, 120.00, 90.00 degrees
Element x y z (fractional)
K (0.500, 0.000, 0.000)
K (0.500, 0.000, 0.500)
K (0.000, 0.000, 0.000)
K (0.000, 0.000, 0.500)
U (0.500, 0.500, 0.000)
U (0.500, 0.500, 0.500)
U (0.000, 0.500, 0.500)
Cd (0.000, 0.500, 0.000)
Se (0.237, 0.705, 0.968)
Se (0.237, 0.705, 0.474)
Se (0.264, 0.293, 0.528)
Se (0.732, 0.705, 0.968)
Se (0.268, 0.295, 0.032)
Se (0.736, 0.707, 0.472)
Se (0.763, 0.295, 0.526)
Se (0.763, 0.295, 0.032)

Summary:
- calculated volume (A^3/atom) = 29.939
- space group = R-3m, No. 166
- energy (eV/atom) = -5.3474

=====

> The highest calculated volume belongs to which entry?

K2U2CdSe6

=====

> energy of number 1 (K2U2CdSe6)?

-5.3515 eV/atom

=====

> Number 3 is which compound?

K4U3CdSe8